Record 1
{"formula": "KNa2I", "functional": "PBE", "state": "relaxed", "sg": "No. 123", "relative_energy_mev_per_atom": 23, "e_form_raw_ev_per_atom": -0.49, "e_tot_ev_per_fu": -7.25, "lattice": [[-0.4312, -3.7181, -2.9890], [1.8392, -2.8988, 3.3404], [-6.7055, -1.2902, 2.5723]], "species": ["I", "Na", "Na", "K"], "frac_coords": [[0.5000, 0.5000, 0.0000], [0.0000, 0.0000, 0.7559], [0.0000, 0.0000, 0.2441], [0.5000, 0.5000, 0.5000]]}



Record 2
{"formula": "KNaI2", "functional": "PBE", "state": "relaxed", "sg": "No. 122", "relative_energy_mev_per_atom": 57, "e_form_raw_ev_per_atom": -1.30, "e_tot_ev_per_fu": -10.74, "lattice": [[-6.5928, -0.2878, 5.4729], [-1.9666, -7.8670, -2.7827], [-1.2844, -6.0655, 4.8488]], "species": ["I", "I", "I", "I", "Na", "Na", "K", "K"], "frac_coords": [[0.5906, 0.1250, 0.2500], [0.1594, 0.6250, 0.2500], [0.3750, 0.4094, 0.7500], [0.8750, 0.8406, 0.7500], [0.5000, 0.5000, 0.0000], [0.2500, 0.7500, 0.5000], [0.0000, 0.0000, 0.0000], [0.7500, 0.2500, 0.5000]]}



Record 3
{"formula": "KNa3I", "functional": "PBE", "state": "relaxed", "sg": "No. 221", "relative_energy_mev_per_atom": 0, "e_form_raw_ev_per_atom": -0.30, "e_tot_ev_per_fu": -8.08, "lattice": [[-2.4988, 5.7628, -0.9463], [-5.1854, -2.6628, -2.5239], [-2.6864, -0.2204, 5.7518]], "species": ["I", "Na", "Na", "Na", "K"], "frac_coords": [[0.0000, 0.0000, 0.0000], [0.0000, 0.5000, 0.0000], [0.0000, 0.0000, 0.5000], [0.5000, 0.0000, 0.0000], [0.5000, 0.5000, 0.5000]]}



Record 4
{"formula": "K2Na2I", "functional": "PBE", "state": "relaxed", "sg": "No. 127", "relative_energy_mev_per_atom": 0, "e_form_raw_ev_per_atom": -0.37, "e_tot_ev_per_fu": -8.23, "lattice": [[9.2607, 0.0000, 0.0000], [0.0000, 9.2607, 0.0000], [0.0000, 0.0000, 6.6399]], "species": ["I", "I", "Na", "Na", "Na", "Na", "K", "K", "K", "K"], "frac_coords": [[0.0000, 0.0000, 0.0000], [0.5000, 0.5000, 0.0000], [0.1317, 0.6317, 0.5000], [0.6317, 0.8683, 0.5000], [0.8683, 0.3683, 0.5000], [0.3683, 0.1317, 0.5000], [0.3284, 0.8284, 0.0000], [0.8284, 0.6716, 0.0000], [0.6716, 0.1716, 0.0000], [0.1716, 0.3284, 0.0000]]}



Record 5
{"formula": "K2Na2I", "functional": "PBE", "state": "relaxed", "sg": "No. 127", "relative_energy_mev_per_atom": 4, "e_form_raw_ev_per_atom": -0.37, "e_tot_ev_per_fu": -8.21, "lattice": [[-5.3724, -6.9724, -0.4416], [1.0936, -1.3895, 8.6340], [-4.9974, 3.7721, 1.2401]], "species": ["I", "I", "Na", "Na", "Na", "Na", "K", "K", "K", "K"], "frac_coords": [[0.0000, 0.0000, 0.0000], [0.5000, 0.5000, 0.0000], [0.3636, 0.8636, 0.0000], [0.8636, 0.6364, 0.0000], [0.6364, 0.1364, 0.0000], [0.1364, 0.3636, 0.0000], [0.1745, 0.6745, 0.5000], [0.6745, 0.8255, 0.5000], [0.8255, 0.3255, 0.5000], [0.3255, 0.1745, 0.5000]]}



Record 6
{"formula": "K5Na3I8", "functional": "PBE", "state": "relaxed", "sg": "No. 166", "e_form_raw_ev_per_atom": -1.39, "e_tot_ev_per_fu": -44.03, "lattice": [[-6.8399, -6.9416, 0.7391], [-4.6334, -1.4107, 8.4887], [-9.4550, 2.5308, 0.8859]], "species": ["K", "K", "K", "K", "K", "Na", "Na", "Na", "I", "I", "I", "I", "I", "I", "I", "I"], "frac_coords": [[0.5000, 0.0000, 0.0000], [0.5000, 0.5000, 0.0000], [0.0000, 0.0000, 0.0000], [0.0000, 0.5000, 0.0000], [0.5000, 0.5000, 0.5000], [0.5000, 0.0000, 0.5000], [0.0000, 0.0000, 0.5000], [0.0000, 0.5000, 0.5000], [0.2501, 0.2501, 0.7331], [0.2501, 0.7667, 0.7331], [0.7667, 0.2501, 0.7331], [0.7576, 0.7576, 0.7272], [0.7499, 0.7499, 0.2669], [0.7499, 0.2333, 0.2669], [0.2333, 0.7499, 0.2669], [0.2424, 0.2424, 0.2728]]}



Record 7
{"formula": "KNaNbI6", "functional": "PBE", "state": "relaxed", "sg": "No. 163", "e_form_raw_ev_per_atom": -0.81, "e_tot_ev_per_fu": -29.08, "lattice": [[7.9655, 0.0000, 0.0000], [-3.9828, 6.8983, 0.0000], [0.0000, 0.0000, 14.7512]], "species": ["K", "K", "Na", "Na", "Nb", "Nb", "I", "I", "I", "I", "I", "I", "I", "I", "I", "I", "I", "I"], "frac_coords": [[0.0000, 0.0000, 0.0000], [0.0000, 0.0000, 0.5000], [0.3333, 0.6667, 0.2500], [0.6667, 0.3333, 0.7500], [0.6667, 0.3333, 0.2500], [0.3333, 0.6667, 0.7500], [0.6503, 0.6133, 0.1385], [0.9631, 0.3497, 0.1385], [0.3497, 0.9631, 0.6385], [0.0369, 0.6503, 0.8615], [0.3867, 0.3497, 0.3615], [0.9631, 0.6133, 0.3615], [0.6133, 0.9631, 0.8615], [0.6503, 0.0369, 0.3615], [0.0369, 0.3867, 0.6385], [0.3867, 0.0369, 0.1385], [0.6133, 0.6503, 0.6385], [0.3497, 0.3867, 0.8615]]}



Record 8
{"formula": "K2NaNdI6", "functional": "PBE", "state": "relaxed", "sg": "No. 146", "e_form_raw_ev_per_atom": -1.41, "e_tot_ev_per_fu": -31.65, "lattice": [[8.5854, 0.0002, 0.0006], [4.2929, 7.4348, 0.0001], [4.2928, 2.4785, 7.2714]], "species": ["K", "K", "Na", "Nd", "I", "I", "I", "I", "I", "I"], "frac_coords": [[0.5326, 0.5326, 0.4021], [0.0265, 0.0266, 0.9203], [0.8185, 0.8185, 0.5446], [0.3231, 0.3231, 0.0306], [0.5749, 0.1805, 0.2678], [0.1805, 0.9767, 0.2677], [0.9767, 0.5750, 0.2678], [0.4599, 0.6747, 0.7714], [0.6748, 0.0940, 0.7714], [0.0940, 0.4599, 0.7714]]}